# 1
Density functional theory data (PBE-GGA) for BaNa2P2Au after structural relaxation.

Values from the calculation:
Calculated formation energy (eV per atom): -0.4097
Energy (eV per formula unit): -21.1

Geometry as CIF:
```
data_BaNa2P2Au
_cell_length_a 5.548
_cell_length_b 5.548
_cell_length_c 11.084
_cell_angle_alpha 90.00
_cell_angle_beta 90.00
_cell_angle_gamma 90.00
_symmetry_space_group_name_H-M 'I 4/m m m'
_symmetry_Int_Tables_number 139
_symmetry_space_group_name_Hall '-I 4 2'
loop_
_atom_site_label
_atom_site_fract_x
_atom_site_fract_y
_atom_site_fract_z
Ba1 0.000 0.000 0.000
Na1 0.000 0.500 0.250
P1 0.000 0.000 0.292
Au1 0.000 0.000 0.500
```


# 2
Density functional theory data (PBE-GGA) for Pa2AgRhO8 after structural relaxation.

Values from the calculation:
ΔE_f (raw) (eV per atom): -1.83
Energy (eV per formula unit): -90.8

Geometry as CIF:
```
data_Pa2AgRhO8
_cell_length_a 5.3637
_cell_length_b 5.3637
_cell_length_c 6.7680
_cell_angle_alpha 90.00
_cell_angle_beta 90.00
_cell_angle_gamma 120.00
_symmetry_space_group_name_H-M 'P -3 m 1'
_symmetry_Int_Tables_number 164
_symmetry_space_group_name_Hall '-P 3 2"'
loop_
_atom_site_label
_atom_site_fract_x
_atom_site_fract_y
_atom_site_fract_z
Pa1 0.3333 0.6667 0.3610
Ag1 0.0000 0.0000 0.0000
Rh1 0.0000 0.0000 0.5000
O1 0.1776 0.3551 0.6522
O2 0.3333 0.6667 0.0865
```


# 3
Density functional theory data (PBE-GGA) for Th6Bi3TeAs2 after structural relaxation.

Values from the calculation:
ΔE_f (raw) (eV per atom): -0.93
Energy (eV per formula unit): -79.7

Geometry as CIF:
```
data_Th6Bi3TeAs2
_cell_length_a 19.464
_cell_length_b 4.426
_cell_length_c 8.995
_cell_angle_alpha 90.00
_cell_angle_beta 103.29
_cell_angle_gamma 90.00
_symmetry_space_group_name_H-M 'C 1 2/m 1'
_symmetry_Int_Tables_number 12
loop_
_symmetry_equiv_pos_as_xyz
'x,y,z'
'-x,-y,-z'
'-x,y,-z'
'x,-y,z'
'x+1/2,y+1/2,z'
'-x+1/2,-y+1/2,-z'
'-x+1/2,y+1/2,-z'
'x+1/2,-y+1/2,z'
loop_
_atom_site_label
_atom_site_fract_x
_atom_site_fract_y
_atom_site_fract_z
Th1 0.013 0.000 0.250
Th2 0.168 0.500 0.112
Th3 0.175 0.500 0.566
Bi1 0.000 0.500 0.500
Bi2 0.162 0.000 0.833
Te1 0.000 0.500 0.000
As1 0.169 0.000 0.337
```